# 1
# TeMo2Se2S (meta-GGA SCAN, single point on PBEsol structure)
# Raw total energy   -1.9661 Ry per atom
# V   20.48 Å³ per atom
# Formation energy (no corrections)   -356 kJ/mol of formula units
# Fermi-level density of states   0.40 states/eV/f.u.
# SG   P3m1
data_TeMo2Se2S
_chemical_formula_sum 'Te2 Mo4 Se4 S2'
_space_group_name_H-M_alt 'P 1'
_space_group_IT_number 1
_space_group_name_Hall 'P 1'
_cell_length_a 3.287
_cell_length_b 3.287
_cell_length_c 26.269
_cell_angle_alpha 90.00
_cell_angle_beta 90.00
_cell_angle_gamma 120.00
loop_
_atom_site_label
_atom_site_type_symbol
_atom_site_fract_x
_atom_site_fract_y
_atom_site_fract_z
S1 S 0.000 0.000 0.698
S2 S 0.000 0.000 0.812
Mo1 Mo 0.000 0.000 0.504
Mo2 Mo 0.667 0.333 0.243
Mo3 Mo 0.667 0.333 0.755
Mo4 Mo 0.000 0.000 0.995
Se1 Se 0.000 0.000 0.306
Se2 Se 0.000 0.000 0.180
Se3 Se 0.667 0.333 0.932
Se4 Se 0.667 0.333 0.058
Te1 Te 0.667 0.333 0.576
Te2 Te 0.667 0.333 0.432

=====

# 2
# ZrBeNi (meta-GGA SCAN, single point on PBEsol structure)
# Raw total energy   -1.2587 Ry per atom
# V   15.41 Å³ per atom
# Fermi-level density of states   4.01 states/eV/f.u.
# Distance to the lowest polymorph of the same formula   296 meV/atom
# SG   F-43m
data_ZrBeNi
_chemical_formula_sum 'Zr1 Be1 Ni1'
_space_group_name_H-M_alt 'P 1'
_space_group_IT_number 1
_space_group_name_Hall 'P 1'
_cell_length_a 4.028
_cell_length_b 4.028
_cell_length_c 4.028
_cell_angle_alpha 60.00
_cell_angle_beta 60.00
_cell_angle_gamma 60.00
loop_
_atom_site_label
_atom_site_type_symbol
_atom_site_fract_x
_atom_site_fract_y
_atom_site_fract_z
Be1 Be 0.500 0.500 0.500
Zr1 Zr 0.000 0.000 0.000
Ni1 Ni 0.250 0.250 0.250

=====

# 3
# Ca2TeF2 (meta-GGA SCAN, single point on PBEsol structure)
# Raw total energy   -1.1722 Ry per atom
# V   19.05 Å³ per atom
# Formation energy (no corrections)   -1552 kJ/mol of formula units
# Fermi-level density of states   0.00 states/eV/f.u.
# SG   I4/mmm
data_Ca2TeF2
_chemical_formula_sum 'Ca2 Te1 F2'
_space_group_name_H-M_alt 'P 1'
_space_group_IT_number 1
_space_group_name_Hall 'P 1'
_cell_length_a 3.924
_cell_length_b 3.924
_cell_length_c 6.779
_cell_angle_alpha 106.83
_cell_angle_beta 106.83
_cell_angle_gamma 90.00
loop_
_atom_site_label
_atom_site_type_symbol
_atom_site_fract_x
_atom_site_fract_y
_atom_site_fract_z
F1 F 0.750 0.250 0.500
F2 F 0.250 0.750 0.500
Ca1 Ca 0.352 0.352 0.703
Ca2 Ca 0.648 0.648 0.297
Te1 Te 0.000 0.000 0.000

=====

# 4
# RbFeAs2Se (meta-GGA SCAN, single point on PBEsol structure)
# Raw total energy   -1.3134 Ry per atom
# V   31.95 Å³ per atom
# Formation energy (no corrections)   963 kJ/mol of formula units
# Fermi-level density of states   6.08 states/eV/f.u.
# SG   P4/mmm
data_RbFeAs2Se
_chemical_formula_sum 'Rb1 Fe1 As2 Se1'
_space_group_name_H-M_alt 'P 1'
_space_group_IT_number 1
_space_group_name_Hall 'P 1'
_cell_length_a 5.387
_cell_length_b 5.387
_cell_length_c 5.506
_cell_angle_alpha 90.00
_cell_angle_beta 90.00
_cell_angle_gamma 90.00
loop_
_atom_site_label
_atom_site_type_symbol
_atom_site_fract_x
_atom_site_fract_y
_atom_site_fract_z
Fe1 Fe 0.500 0.500 0.500
Rb1 Rb 0.000 0.000 0.000
Se1 Se 0.000 0.000 0.500
As1 As 0.000 0.500 0.000
As2 As 0.500 0.000 0.000

=====

# 5
# TiFeSi2Rh (meta-GGA SCAN, single point on PBEsol structure)
# Raw total energy   -1.2080 Ry per atom
# V   16.75 Å³ per atom
# Formation energy (no corrections)   558 kJ/mol of formula units
# Fermi-level density of states   3.26 states/eV/f.u.
# SG   P4/mmm
data_TiFeSi2Rh
_chemical_formula_sum 'Ti1 Fe1 Si2 Rh1'
_space_group_name_H-M_alt 'P 1'
_space_group_IT_number 1
_space_group_name_Hall 'P 1'
_cell_length_a 4.033
_cell_length_b 4.556
_cell_length_c 4.556
_cell_angle_alpha 90.00
_cell_angle_beta 90.00
_cell_angle_gamma 90.00
loop_
_atom_site_label
_atom_site_type_symbol
_atom_site_fract_x
_atom_site_fract_y
_atom_site_fract_z
Rh1 Rh 0.500 0.500 0.500
Si1 Si 0.000 0.500 0.000
Si2 Si 0.000 0.000 0.500
Fe1 Fe 0.500 0.000 0.000
Ti1 Ti 0.000 0.000 0.000

=====

# 6
# NiPt2Br (meta-GGA SCAN, single point on PBEsol structure)
# Raw total energy   -3.2137 Ry per atom
# V   18.38 Å³ per atom
# Formation energy (no corrections)   108 kJ/mol of formula units
# Fermi-level density of states   3.26 states/eV/f.u.
# Distance to the lowest polymorph of the same formula   0 meV/atom
# SG   Cm
data_NiPt2Br
_chemical_formula_sum 'Ni1 Pt2 Br1'
_space_group_name_H-M_alt 'P 1'
_space_group_IT_number 1
_space_group_name_Hall 'P 1'
_cell_length_a 2.800
_cell_length_b 4.483
_cell_length_c 6.239
_cell_angle_alpha 98.34
_cell_angle_beta 90.00
_cell_angle_gamma 108.20
loop_
_atom_site_label
_atom_site_type_symbol
_atom_site_fract_x
_atom_site_fract_y
_atom_site_fract_z
Ni1 Ni 0.781 0.562 0.178
Pt1 Pt 0.042 0.084 0.016
Pt2 Pt 0.292 0.583 0.834
Br1 Br 0.386 0.771 0.472

=====

# 7
# NdInAu (meta-GGA SCAN, single point on PBEsol structure)
# Raw total energy   -3.6508 Ry per atom
# V   23.48 Å³ per atom
# Fermi-level density of states   1.14 states/eV/f.u.
# SG   P-62m
data_NdInAu
_chemical_formula_sum 'Nd3 In3 Au3'
_space_group_name_H-M_alt 'P 1'
_space_group_IT_number 1
_space_group_name_Hall 'P 1'
_cell_length_a 4.094
_cell_length_b 7.720
_cell_length_c 7.720
_cell_angle_alpha 120.00
_cell_angle_beta 90.00
_cell_angle_gamma 90.00
loop_
_atom_site_label
_atom_site_type_symbol
_atom_site_fract_x
_atom_site_fract_y
_atom_site_fract_z
Au1 Au 0.500 0.000 0.000
Au2 Au 0.000 0.333 0.667
Au3 Au 0.000 0.667 0.333
In1 In 0.000 0.254 0.000
In2 In 0.000 0.746 0.746
In3 In 0.000 0.000 0.254
Nd1 Nd 0.500 0.591 0.000
Nd2 Nd 0.500 0.409 0.409
Nd3 Nd 0.500 0.000 0.591

=====

# 8
# MnCrCo2 (meta-GGA SCAN, single point on PBEsol structure)
# Raw total energy   -1.2953 Ry per atom
# V   10.27 Å³ per atom
# Fermi-level density of states   3.79 states/eV/f.u.
# SG   Pmm2
data_MnCrCo2
_chemical_formula_sum 'Mn1 Cr1 Co2'
_space_group_name_H-M_alt 'P 1'
_space_group_IT_number 1
_space_group_name_Hall 'P 1'
_cell_length_a 2.418
_cell_length_b 3.445
_cell_length_c 4.933
_cell_angle_alpha 90.00
_cell_angle_beta 90.00
_cell_angle_gamma 90.00
loop_
_atom_site_label
_atom_site_type_symbol
_atom_site_fract_x
_atom_site_fract_y
_atom_site_fract_z
Mn1 Mn 0.500 0.500 0.768
Co1 Co 0.500 0.500 0.249
Co2 Co 0.000 0.000 0.992
Cr1 Cr 0.000 0.000 0.491

=====

# 9
# TcTeOs2 (meta-GGA SCAN, single point on PBEsol structure)
# Raw total energy   -3.9110 Ry per atom
# V   15.60 Å³ per atom
# Formation energy (no corrections)   311 kJ/mol of formula units
# Fermi-level density of states   4.23 states/eV/f.u.
# Distance to the lowest polymorph of the same formula   131 meV/atom
# SG   Pmmm
data_TcTeOs2
_chemical_formula_sum 'Tc1 Te1 Os2'
_space_group_name_H-M_alt 'P 1'
_space_group_IT_number 1
_space_group_name_Hall 'P 1'
_cell_length_a 2.935
_cell_length_b 4.606
_cell_length_c 4.615
_cell_angle_alpha 90.00
_cell_angle_beta 90.00
_cell_angle_gamma 90.00
loop_
_atom_site_label
_atom_site_type_symbol
_atom_site_fract_x
_atom_site_fract_y
_atom_site_fract_z
Te1 Te 0.000 0.500 0.500
Os1 Os 0.000 0.000 0.000
Os2 Os 0.500 0.500 0.000
Tc1 Tc 0.500 0.000 0.500

=====

# 10
# La3Ag2 (meta-GGA SCAN, single point on PBEsol structure)
# Raw total energy   -2.8351 Ry per atom
# V   27.37 Å³ per atom
# Fermi-level density of states   4.77 states/eV/f.u.
# Distance to the lowest polymorph of the same formula   0 meV/atom
# SG   C2/m
data_La3Ag2
_chemical_formula_sum 'La3 Ag2'
_space_group_name_H-M_alt 'P 1'
_space_group_IT_number 1
_space_group_name_Hall 'P 1'
_cell_length_a 3.658
_cell_length_b 6.207
_cell_length_c 6.635
_cell_angle_alpha 77.37
_cell_angle_beta 74.00
_cell_angle_gamma 72.86
loop_
_atom_site_label
_atom_site_type_symbol
_atom_site_fract_x
_atom_site_fract_y
_atom_site_fract_z
La1 La 0.657 0.434 0.251
La2 La 0.343 0.566 0.749
La3 La 0.500 0.000 0.000
Ag1 Ag 0.866 0.861 0.407
Ag2 Ag 0.134 0.139 0.593

=====

# 11
# BaSeCl2 (meta-GGA SCAN, single point on PBEsol structure)
# Raw total energy   -1.4991 Ry per atom
# V   26.34 Å³ per atom
# Formation energy (no corrections)   -579 kJ/mol of formula units
# Fermi-level density of states   2.53 states/eV/f.u.
# Distance to the lowest polymorph of the same formula   0 meV/atom
# SG   I4/mmm
data_BaSeCl2
_chemical_formula_sum 'Ba1 Se1 Cl2'
_space_group_name_H-M_alt 'P 1'
_space_group_IT_number 1
_space_group_name_Hall 'P 1'
_cell_length_a 5.063
_cell_length_b 5.451
_cell_length_c 5.063
_cell_angle_alpha 62.33
_cell_angle_beta 90.00
_cell_angle_gamma 117.67
loop_
_atom_site_label
_atom_site_type_symbol
_atom_site_fract_x
_atom_site_fract_y
_atom_site_fract_z
Se1 Se 0.500 0.000 0.500
Ba1 Ba 0.000 0.000 0.000
Cl1 Cl 0.750 0.500 0.750
Cl2 Cl 0.250 0.500 0.250

=====

# 12
# LiCo2Mo (meta-GGA SCAN, single point on PBEsol structure)
# Raw total energy   -1.2643 Ry per atom
# V   12.55 Å³ per atom
# Fermi-level density of states   2.70 states/eV/f.u.
# Distance to the lowest polymorph of the same formula   490 meV/atom
# SG   I-42d
data_LiCo2Mo
_chemical_formula_sum 'Li2 Co4 Mo2'
_space_group_name_H-M_alt 'P 1'
_space_group_IT_number 1
_space_group_name_Hall 'P 1'
_cell_length_a 5.089
_cell_length_b 5.120
_cell_length_c 5.120
_cell_angle_alpha 75.70
_cell_angle_beta 60.20
_cell_angle_gamma 60.20
loop_
_atom_site_label
_atom_site_type_symbol
_atom_site_fract_x
_atom_site_fract_y
_atom_site_fract_z
Mo1 Mo 0.000 0.000 0.000
Mo2 Mo 0.750 0.500 0.500
Li1 Li 0.250 0.500 0.500
Li2 Li 0.500 0.000 0.000
Co1 Co 0.113 0.012 0.512
Co2 Co 0.637 0.988 0.488
Co3 Co 0.875 0.488 0.012
Co4 Co 0.375 0.512 0.988